Density functional theory data (PBE) for a relaxed ErAl11Ru crystal.

- DOS(E_F) (states/eV/f.u.) = 5.3
- ΔH_f (0 K) (meV per atom) = -254
- total magnetic moment (μB/f.u.) = 0.0
- total energy (eV/atom) = -4.49
- SG = C2/m, No. 12

Cell lengths 6.8235, 6.8235, 7.1242 Å; angles 97.34, 97.34, 135.28 degrees
Atoms (fractional coordinates):
Er 0.0000 0.0000 0.0000
Al 0.0000 0.0000 0.5000
Al 0.0000 0.5000 0.0000
Al 0.0139 0.3610 0.3592
Al 0.2833 0.4991 0.7759
Al 0.3610 0.0139 0.3592
Al 0.4991 0.2833 0.7759
Al 0.5000 0.0000 0.0000
Al 0.5009 0.7167 0.2241
Al 0.6390 0.9861 0.6408
Al 0.7167 0.5009 0.2241
Al 0.9861 0.6390 0.6408
Ru 0.5000 0.5000 0.5000



Density functional theory data (PBE) for a relaxed ErAlRu crystal.

- DOS(E_F) (states/eV/f.u.) = 0.8
- ΔH_f (0 K) (meV per atom) = -318
- total magnetic moment (μB/f.u.) = 0.0
- total energy (eV/atom) = -6.18
- SG = Fdd2, No. 43

Cell lengths 6.4925, 5.0154, 5.6179 Å; angles 75.02, 48.27, 56.71 degrees
Atoms (fractional coordinates):
Er 0.0000 0.0000 0.0000
Er 0.2500 0.2500 0.2500
Al 0.6380 0.6380 0.3620
Al 0.8880 0.8880 0.6120
Ru 0.3348 0.3348 0.6652
Ru 0.5848 0.5848 0.9152



Density functional theory data (PBE) for a relaxed ErAl4Ru crystal.

- DOS(E_F) (states/eV/f.u.) = 1.9
- ΔH_f (0 K) (meV per atom) = -280
- total magnetic moment (μB/f.u.) = 0.0
- total energy (eV/atom) = -5.08
- SG = I4/mcm, No. 140

Cell lengths 7.1804, 7.1804, 7.1804 Å; angles 125.09, 125.09, 81.38 degrees
Atoms (fractional coordinates):
Er 0.0000 0.0000 0.0000
Er 0.5000 0.5000 0.0000
Al 0.0164 0.5164 0.2017
Al 0.1852 0.9836 0.5000
Al 0.3148 0.8148 0.7983
Al 0.4836 0.6852 0.5000
Al 0.5164 0.3148 0.5000
Al 0.6852 0.1852 0.2017
Al 0.8148 0.0164 0.5000
Al 0.9836 0.4836 0.7983
Ru 0.2500 0.2500 0.0000
Ru 0.7500 0.7500 0.0000



Density functional theory data (PBE) for a relaxed Er7Al2Ru2 crystal.

- DOS(E_F) (states/eV/f.u.) = 6.1
- ΔH_f (0 K) (meV per atom) = -216
- total magnetic moment (μB/f.u.) = 0.0
- total energy (eV/atom) = -5.49
- SG = Cmmm, No. 65

Cell lengths 6.6198, 6.6198, 6.9862 Å; angles 90.00, 90.00, 108.72 degrees
Atoms (fractional coordinates):
Er 0.0000 0.0000 0.0000
Er 0.0000 0.5000 0.2593
Er 0.0000 0.5000 0.7407
Er 0.5000 0.0000 0.2593
Er 0.5000 0.0000 0.7407
Er 0.5000 0.5000 0.2507
Er 0.5000 0.5000 0.7493
Al 0.1684 0.1684 0.5000
Al 0.8316 0.8316 0.5000
Ru 0.2983 0.7017 0.0000
Ru 0.7017 0.2983 0.0000



Density functional theory data (PBE) for a relaxed Er3Al3Ru2 crystal.

- DOS(E_F) (states/eV/f.u.) = 5.5
- ΔH_f (0 K) (meV per atom) = -552
- total magnetic moment (μB/f.u.) = 0.0
- total energy (eV/atom) = -5.99
- SG = Pnma, No. 62

Cell lengths 7.5231, 15.2552, 5.7475 Å; angles 90.00, 90.00, 90.00 degrees
Atoms (fractional coordinates):
Er 0.0353 0.1085 0.1013
Er 0.0353 0.3915 0.1013
Er 0.1723 0.2500 0.6315
Er 0.3277 0.7500 0.1315
Er 0.4647 0.6085 0.6013
Er 0.4647 0.8915 0.6013
Er 0.5353 0.1085 0.3987
Er 0.5353 0.3915 0.3987
Er 0.6723 0.2500 0.8685
Er 0.8277 0.7500 0.3685
Er 0.9647 0.6085 0.8987
Er 0.9647 0.8915 0.8987
Al 0.1606 0.0335 0.5900
Al 0.1606 0.4665 0.5900
Al 0.1724 0.7500 0.6211
Al 0.3276 0.2500 0.1211
Al 0.3394 0.5335 0.0900
Al 0.3394 0.9665 0.0900
Al 0.6606 0.0335 0.9100
Al 0.6606 0.4665 0.9100
Al 0.6724 0.7500 0.8789
Al 0.8276 0.2500 0.3789
Al 0.8394 0.5335 0.4100
Al 0.8394 0.9665 0.4100
Ru 0.1349 0.6086 0.3659
Ru 0.1349 0.8914 0.3659
Ru 0.3651 0.1086 0.8659
Ru 0.3651 0.3914 0.8659
Ru 0.6349 0.6086 0.1341
Ru 0.6349 0.8914 0.1341
Ru 0.8651 0.1086 0.6341
Ru 0.8651 0.3914 0.6341



Density functional theory data (PBE) for a relaxed ErAl6Ru crystal.

- DOS(E_F) (states/eV/f.u.) = 3.2
- ΔH_f (0 K) (meV per atom) = -10
- total magnetic moment (μB/f.u.) = 0.0
- total energy (eV/atom) = -4.55
- SG = R-3m, No. 166

Cell lengths 6.8591, 6.8591, 6.8591 Å; angles 49.77, 49.77, 49.77 degrees
Atoms (fractional coordinates):
Er 0.0000 0.0000 0.0000
Al 0.0591 0.5825 0.5825
Al 0.4175 0.4175 0.9409
Al 0.4175 0.9409 0.4175
Al 0.5825 0.0591 0.5825
Al 0.5825 0.5825 0.0591
Al 0.9409 0.4175 0.4175
Ru 0.5000 0.5000 0.5000



Density functional theory data (PBE) for a relaxed ErAlRu crystal.

- DOS(E_F) (states/eV/f.u.) = 1.7
- ΔH_f (0 K) (meV per atom) = -467
- total magnetic moment (μB/f.u.) = 0.0
- total energy (eV/atom) = -6.33
- SG = P-6m2, No. 187

Cell lengths 4.3439, 4.3439, 3.5541 Å; angles 90.00, 90.00, 120.00 degrees
Atoms (fractional coordinates):
Er 0.0000 0.0000 0.0000
Al 0.3333 0.6667 0.5000
Ru 0.6667 0.3333 0.5000



Density functional theory data (PBE) for a relaxed Er2Al3Ru crystal.

- DOS(E_F) (states/eV/f.u.) = 4.3
- ΔH_f (0 K) (meV per atom) = -584
- total magnetic moment (μB/f.u.) = 0.0
- total energy (eV/atom) = -5.52
- SG = R-3m, No. 166

Cell lengths 5.4133, 5.4133, 5.4133 Å; angles 60.54, 60.54, 60.54 degrees
Atoms (fractional coordinates):
Er 0.1270 0.1270 0.1270
Er 0.8730 0.8730 0.8730
Al 0.0000 0.5000 0.5000
Al 0.5000 0.0000 0.5000
Al 0.5000 0.5000 0.0000
Ru 0.5000 0.5000 0.5000